Below is Ca3Ag2Br8 after structural relaxation, with properties calculated at the PBE-GGA level.

Properties
Its uncorrected formation energy is -1.51 eV/atom.

Cell lengths 7.498, 8.560, 8.488 Å; angles 120.28, 108.10, 90.00 degrees
Sites, in units of the cell vectors:
Ca: 0.000 0.748 0.000
Ca: 0.000 0.252 0.000
Ca: 0.500 0.000 0.000
Br: 0.239 0.117 0.761
Br: 0.752 0.886 0.771
Br: 0.248 0.114 0.229
Br: 0.225 0.624 0.249
Br: 0.761 0.883 0.239
Br: 0.761 0.356 0.239
Br: 0.239 0.644 0.761
Br: 0.775 0.376 0.751
Ag: 0.432 0.389 0.779
Ag: 0.568 0.611 0.221



Below is NpPd7Pt3 after structural relaxation, with properties calculated at the PBE-GGA level.

Properties
For the formation energy, the calculation gives -0.12 eV per atom.

Cell lengths 6.829, 5.641, 5.641 Å; angles 120.00, 90.00, 90.00 degrees
Last column: magnetic moment on the atom in μB.
Sites, in units of the cell vectors:
Pd: 0.112 0.164 0.836  -0.10
Pd: 0.112 0.672 0.836  -0.10
Pd: 0.120 0.667 0.333  -0.04
Pd: 0.455 0.329 0.165  -0.09
Pd: 0.455 0.835 0.165  -0.09
Pd: 0.112 0.164 0.328  -0.10
Pd: 0.455 0.835 0.671  -0.09
Np: 0.441 0.333 0.667  2.74
Pt: 0.784 0.501 0.499  -0.15
Pt: 0.784 0.999 0.499  -0.15
Pt: 0.784 0.501 0.001  -0.15



Below is CaRu2Au after structural relaxation, with properties calculated at the PBE-GGA level.

Properties
For the formation energy, the calculation gives 0.32 eV per atom. Its polymorph energy (0 for the lowest one) is 5.12 kcal/mol of atoms.

Cell lengths 3.054, 4.716, 4.839 Å; angles 90.00, 90.00, 90.00 degrees
Last column: magnetic moment on the atom in μB.
Sites, in units of the cell vectors:
Ca: 0.000 0.500 0.500  -0.02
Ru: 0.500 0.500 0.000  0.60
Ru: 0.000 0.000 0.000  0.54
Au: 0.500 0.000 0.500  0.01



Below is Ca6AlZn2 after structural relaxation, with properties calculated at the PBE-GGA level.

Properties
For the formation energy, the calculation gives -0.16 eV per atom.

Cell lengths 8.991, 8.991, 8.991 Å; angles 105.83, 109.77, 112.89 degrees
Sites, in units of the cell vectors:
Zn: 0.500 0.620 0.120
Zn: 0.333 0.000 0.333
Zn: 0.500 0.380 0.880
Zn: 0.667 0.000 0.667
Ca: 0.904 0.724 0.180
Ca: 0.299 0.966 0.666
Ca: 0.096 0.276 0.820
Ca: 0.812 0.752 0.563
Ca: 0.299 0.633 0.334
Ca: 0.544 0.724 0.820
Ca: 0.701 0.367 0.666
Ca: 0.456 0.276 0.180
Ca: 0.188 0.248 0.437
Ca: 0.188 0.752 0.940
Ca: 0.812 0.248 0.060
Ca: 0.701 0.034 0.334
Al: 0.000 0.000 0.000
Al: 0.000 0.500 0.500



Below is Tb8Pm4Dy3 after structural relaxation, with properties calculated at the PBE-GGA level.

Properties
For the formation energy, the calculation gives 0.12 eV per atom. Its polymorph energy (0 for the lowest one) is 0.00 kcal/mol of atoms.

Cell lengths 6.970, 6.970, 12.516 Å; angles 73.83, 73.83, 60.00 degrees
Sites, in units of the cell vectors:
Tb: 0.750 0.247 0.253
Tb: 0.750 0.750 0.253
Tb: 0.247 0.750 0.253
Tb: 0.250 0.753 0.747
Tb: 0.250 0.250 0.747
Tb: 0.245 0.245 0.265
Tb: 0.755 0.755 0.735
Tb: 0.753 0.250 0.747
Pm: 0.000 0.000 0.000
Pm: 0.664 0.664 0.009
Pm: 0.336 0.336 0.991
Pm: 0.500 0.500 0.500
Dy: 0.500 0.000 0.500
Dy: 0.000 0.500 0.500
Dy: 0.000 0.000 0.500



Below is Tm2In3Hg after structural relaxation, with properties calculated at the PBE-GGA level.

Properties
For the formation energy, the calculation gives -0.35 eV per atom. Its polymorph energy (0 for the lowest one) is 0.10 kcal/mol of atoms.

Cell lengths 6.043, 6.043, 9.940 Å; angles 114.15, 114.15, 69.77 degrees
Sites, in units of the cell vectors:
Hg: 0.333 0.333 0.667
Hg: 0.667 0.667 0.333
In: 0.665 0.665 0.833
In: 0.833 0.833 0.167
In: 0.832 0.832 0.664
In: 0.167 0.167 0.833
In: 0.168 0.168 0.336
In: 0.335 0.335 0.167
Tm: 0.251 0.749 0.000
Tm: 0.750 0.250 0.500
Tm: 0.749 0.251 0.000
Tm: 0.250 0.750 0.500